No. 1
# LiMgTa

LiMgTa after structural relaxation (PBE-GGA, the Alexandria database).

Cell lengths 7.955, 7.955, 3.172 Å; angles 90.00, 90.00, 147.10 degrees
Atoms (fractional coordinates):
Mg (0.330, 0.670, 0.000)
Mg (0.670, 0.330, 0.000)
Ta (0.000, 0.000, 0.000)
Ta (0.500, 0.500, 0.500)
Li (0.837, 0.163, 0.500)
Li (0.163, 0.837, 0.500)

Output
magnetic moment: 0.0 μB per cell
space group: Cmmm, No. 65
energy of formation: 233 meV per atom
E_tot: -4.8870 eV/atom
DOS(E_F): 3.60 states/eV/cell

***

No. 2
# In3IrBr

In3IrBr after structural relaxation (PBE-GGA, the Alexandria database).

Cell lengths 21.104, 6.832, 8.428 Å; angles 90.00, 155.87, 90.00 degrees
Atoms (fractional coordinates):
In (0.722, 0.148, 0.163)
In (0.837, 0.497, 0.869)
In (0.222, 0.352, 0.663)
In (0.663, 0.997, 0.631)
In (0.778, 0.648, 0.337)
In (0.896, 0.003, 0.916)
In (0.104, 0.997, 0.084)
In (0.396, 0.497, 0.416)
In (0.337, 0.003, 0.369)
In (0.163, 0.503, 0.131)
In (0.604, 0.503, 0.584)
In (0.278, 0.852, 0.837)
Ir (0.454, 0.179, 0.355)
Ir (0.046, 0.679, 0.145)
Ir (0.954, 0.321, 0.855)
Ir (0.546, 0.821, 0.645)
Br (0.981, 0.757, 0.501)
Br (0.019, 0.243, 0.499)
Br (0.481, 0.743, 0.001)
Br (0.519, 0.257, 0.999)

Output
formation energy from raw total energies: -0.25 eV per atom
magnetic moment: 0.0 μB per cell
space group: P2_1/c, No. 14
E_tot: -4.0014 eV/atom
DOS(E_F): 5.67 states/eV/cell

***

No. 3
# CaY2Pt3

CaY2Pt3 after structural relaxation (PBE-GGA, the Alexandria database).

Cell lengths 3.472, 3.472, 10.701 Å; angles 90.00, 90.00, 90.00 degrees
Atoms (fractional coordinates):
Y (0.500, 0.500, 0.169)
Y (0.500, 0.500, 0.831)
Pt (0.000, 0.000, 0.680)
Pt (0.000, 0.000, 0.320)
Pt (0.000, 0.000, 0.000)
Ca (0.500, 0.500, 0.500)

Output
magnetic moment: 0.0 μB per cell
space group: P4/mmm, No. 123
energy of formation: -1130 meV per atom
E_tot: -6.6383 eV/atom
DOS(E_F): 2.15 states/eV/cell

***

No. 4
# MnIrBr2

MnIrBr2 after structural relaxation (PBE-GGA, the Alexandria database).

Cell lengths 7.629, 7.629, 7.629 Å; angles 152.35, 149.27, 41.81 degrees
Atoms (fractional coordinates):
Mn (0.250, 0.750, 0.500)
Br (0.884, 0.884, 0.000)
Br (0.616, 0.616, 0.000)
Ir (0.750, 0.250, 0.500)

Output
formation energy from raw total energies: 0.21 eV per atom
magnetic moment: 5.6 μB per cell
space group: Immm, No. 71
E_tot: -5.1385 eV/atom
DOS(E_F): 1.73 states/eV/cell

***

No. 5
# VPSe3

VPSe3 after structural relaxation (PBE-GGA, the Alexandria database).

Cell lengths 4.803, 4.803, 4.803 Å; angles 90.00, 90.00, 90.00 degrees
Atoms (fractional coordinates):
Se (0.500, 0.000, 0.000)
Se (0.000, 0.500, 0.000)
Se (0.000, 0.000, 0.500)
P (0.500, 0.500, 0.500)
V (0.000, 0.000, 0.000)

Output
formation energy from raw total energies: 0.43 eV per atom
magnetic moment: 1.7 μB per cell
space group: Pm-3m, No. 221
E_tot: -4.5655 eV/atom
DOS(E_F): 5.68 states/eV/cell

***

No. 6
# AcErTh

AcErTh after structural relaxation (PBE-GGA, the Alexandria database).

Cell lengths 3.688, 3.688, 9.018 Å; angles 90.00, 90.00, 120.00 degrees
Atoms (fractional coordinates):
Ac (0.000, 0.000, 0.996)
Er (0.667, 0.333, 0.348)
Th (0.333, 0.667, 0.657)

Output
magnetic moment: 0.0 μB per cell
space group: P3m1, No. 156
energy of formation: 100 meV per atom
E_tot: -5.2639 eV/atom
DOS(E_F): 4.57 states/eV/cell

***

No. 7
# YTlCdCu

YTlCdCu after structural relaxation (PBE-GGA, the Alexandria database).

Cell lengths 4.991, 4.991, 4.991 Å; angles 60.00, 60.00, 60.00 degrees
Atoms (fractional coordinates):
Cu (0.000, 0.000, 0.000)
Cd (0.250, 0.250, 0.250)
Y (0.750, 0.750, 0.750)
Tl (0.500, 0.500, 0.500)

Output
magnetic moment: 0.0 μB per cell
space group: F-43m, No. 216
energy of formation: -130 meV per atom
E_tot: -3.5900 eV/atom
DOS(E_F): 2.52 states/eV/cell

***

No. 8
# AlS

AlS after structural relaxation (PBE-GGA, the Alexandria database).

Cell lengths 3.598, 3.598, 8.760 Å; angles 90.00, 90.00, 120.00 degrees
Atoms (fractional coordinates):
S (0.333, 0.667, 0.276)
S (0.000, 0.000, 0.644)
Al (0.000, 0.000, 0.391)
Al (0.667, 0.333, 0.810)

Output
formation energy from raw total energies: -0.62 eV per atom
magnetic moment: 0.0 μB per cell
space group: P3m1, No. 156
E_tot: -4.5545 eV/atom

***

No. 9
# Tb3Nd2Ge4

Tb3Nd2Ge4 after structural relaxation (PBE-GGA, the Alexandria database).

Cell lengths 7.720, 8.025, 7.920 Å; angles 90.00, 90.00, 111.39 degrees
Atoms (fractional coordinates):
Ge (0.332, 0.087, 0.962)
Ge (0.128, 0.507, 0.871)
Ge (0.628, 0.507, 0.629)
Ge (0.872, 0.493, 0.129)
Ge (0.168, 0.913, 0.462)
Ge (0.832, 0.087, 0.538)
Ge (0.668, 0.913, 0.038)
Ge (0.372, 0.493, 0.371)
Nd (0.434, 0.803, 0.681)
Nd (0.066, 0.197, 0.181)
Nd (0.934, 0.803, 0.819)
Nd (0.566, 0.197, 0.319)
Tb (0.233, 0.239, 0.664)
Tb (0.733, 0.239, 0.836)
Tb (0.267, 0.761, 0.164)
Tb (0.767, 0.761, 0.336)
Tb (0.500, 0.500, 0.000)
Tb (0.000, 0.500, 0.500)

Output
magnetic moment: 0.0 μB per cell
space group: P2_1/c, No. 14
energy of formation: -868 meV per atom
E_tot: -5.5229 eV/atom
DOS(E_F): 12.43 states/eV/cell

***

No. 10
# Tl3Ga5Te12

Tl3Ga5Te12 after structural relaxation (PBE-GGA, the Alexandria database).

Cell lengths 15.138, 15.138, 15.138 Å; angles 109.47, 109.47, 109.47 degrees
Atoms (fractional coordinates):
Ga (0.125, 0.750, 0.375)
Ga (0.500, 0.500, 0.500)
Ga (0.000, 0.500, 0.500)
Ga (0.625, 0.750, 0.875)
Ga (0.125, 0.375, 0.250)
Ga (0.250, 0.375, 0.625)
Ga (0.500, 0.000, 0.500)
Ga (0.500, 0.000, 0.000)
Ga (0.000, 0.000, 0.000)
Ga (0.500, 0.500, 0.000)
Ga (0.875, 0.625, 0.750)
Ga (0.375, 0.125, 0.750)
Ga (0.250, 0.875, 0.125)
Ga (0.625, 0.875, 0.250)
Ga (0.375, 0.250, 0.125)
Ga (0.750, 0.625, 0.375)
Ga (0.000, 0.500, 0.000)
Ga (0.875, 0.250, 0.625)
Ga (0.750, 0.125, 0.875)
Ga (0.000, 0.000, 0.500)
Tl (0.250, 0.125, 0.375)
Tl (0.375, 0.750, 0.625)
Tl (0.625, 0.250, 0.375)
Tl (0.625, 0.375, 0.750)
Tl (0.250, 0.625, 0.875)
Tl (0.875, 0.750, 0.125)
Tl (0.125, 0.250, 0.875)
Tl (0.750, 0.875, 0.625)
Tl (0.750, 0.375, 0.125)
Tl (0.375, 0.625, 0.250)
Tl (0.875, 0.125, 0.250)
Tl (0.125, 0.875, 0.750)
Te (0.681, 0.209, 0.599)
Te (0.110, 0.401, 0.082)
Te (0.819, 0.901, 0.291)
Te (0.181, 0.082, 0.971)
Te (0.709, 0.599, 0.181)
Te (0.082, 0.901, 0.110)
Te (0.319, 0.791, 0.401)
Te (0.319, 0.529, 0.418)
Te (0.209, 0.681, 0.099)
Te (0.209, 0.529, 0.610)
Te (0.390, 0.971, 0.791)
Te (0.582, 0.971, 0.681)
Te (0.582, 0.610, 0.401)
Te (0.099, 0.918, 0.390)
Te (0.918, 0.819, 0.529)
Te (0.791, 0.471, 0.390)
Te (0.681, 0.471, 0.582)
Te (0.390, 0.418, 0.099)
Te (0.029, 0.418, 0.819)
Te (0.082, 0.181, 0.471)
Te (0.471, 0.681, 0.082)
Te (0.110, 0.709, 0.529)
Te (0.291, 0.890, 0.971)
Te (0.099, 0.181, 0.209)
Te (0.599, 0.709, 0.681)
Te (0.890, 0.599, 0.918)
Te (0.471, 0.791, 0.890)
Te (0.529, 0.319, 0.918)
Te (0.418, 0.390, 0.599)
Te (0.401, 0.291, 0.319)
Te (0.819, 0.918, 0.029)
Te (0.418, 0.029, 0.319)
Te (0.791, 0.319, 0.901)
Te (0.401, 0.110, 0.582)
Te (0.181, 0.099, 0.709)
Te (0.029, 0.610, 0.709)
Te (0.529, 0.209, 0.110)
Te (0.901, 0.082, 0.610)
Te (0.890, 0.291, 0.471)
Te (0.709, 0.110, 0.029)
Te (0.610, 0.582, 0.901)
Te (0.291, 0.401, 0.819)
Te (0.971, 0.390, 0.291)
Te (0.610, 0.029, 0.209)
Te (0.599, 0.890, 0.418)
Te (0.901, 0.819, 0.791)
Te (0.918, 0.099, 0.890)
Te (0.971, 0.582, 0.181)

Output
formation energy from raw total energies: -0.05 eV per atom
magnetic moment: 0.0 μB per cell
space group: Ia-3d, No. 230
E_tot: -3.0440 eV/atom
DOS(E_F): 89.32 states/eV/cell

***

No. 11
# CaGaSe2

CaGaSe2 after structural relaxation (PBE-GGA, the Alexandria database).

Cell lengths 5.080, 5.080, 5.080 Å; angles 60.00, 60.00, 60.00 degrees
Atoms (fractional coordinates):
Se (0.750, 0.750, 0.750)
Se (0.250, 0.250, 0.250)
Ga (0.500, 0.500, 0.500)
Ca (0.000, 0.000, 0.000)

Output
formation energy from raw total energies: -0.81 eV per atom
magnetic moment: 0.0 μB per cell
space group: Fm-3m, No. 225
E_tot: -3.8045 eV/atom
DOS(E_F): 3.98 states/eV/cell

***

No. 12
# Ti2Tl2AgTe6

Ti2Tl2AgTe6 after structural relaxation (PBE-GGA, the Alexandria database).

Cell lengths 7.042, 7.042, 8.471 Å; angles 97.54, 97.54, 120.63 degrees
Atoms (fractional coordinates):
Ti (0.330, 0.670, 0.500)
Ti (0.670, 0.330, 0.500)
Te (0.065, 0.418, 0.701)
Te (0.935, 0.582, 0.299)
Te (0.418, 0.065, 0.701)
Te (0.582, 0.935, 0.299)
Te (0.707, 0.707, 0.695)
Te (0.293, 0.293, 0.305)
Tl (0.841, 0.159, 0.000)
Tl (0.159, 0.841, 0.000)
Ag (0.000, 0.000, 0.500)

Output
formation energy from raw total energies: -0.41 eV per atom
magnetic moment: 0.0 μB per cell
space group: C2/m, No. 12
E_tot: -4.2455 eV/atom
DOS(E_F): 4.73 states/eV/cell